w:
# ZnP2HS, relaxed, DFT GGA-PBE
data_ZnP2HS
_chemical_formula_sum 'Zn1 P2 H1 S1'
_cell_length_a 4.646
_cell_length_b 4.646
_cell_length_c 4.765
_cell_angle_alpha 90.00
_cell_angle_beta 90.00
_cell_angle_gamma 90.00
_symmetry_space_group_name_H-M 'P 4/m m m'
_symmetry_Int_Tables_number 123
_symmetry_space_group_name_Hall '-P 4 2'
loop_
_atom_site_label
_atom_site_type_symbol
_atom_site_fract_x
_atom_site_fract_y
_atom_site_fract_z
Zn1 Zn 0.000 0.000 0.000
P1 P 0.000 0.500 0.000
H1 H 0.500 0.500 0.500
S1 S 0.000 0.000 0.500
# N(E_F) in states/eV per atom: 0.675

---

x:
# ZnP2HS, relaxed, DFT GGA-PBE
data_ZnP2HS
_chemical_formula_sum 'Zn1 P2 H1 S1'
_cell_length_a 3.462
_cell_length_b 3.462
_cell_length_c 7.969
_cell_angle_alpha 90.00
_cell_angle_beta 90.00
_cell_angle_gamma 90.00
_symmetry_space_group_name_H-M 'P 4/m m m'
_symmetry_Int_Tables_number 123
_symmetry_space_group_name_Hall '-P 4 2'
loop_
_atom_site_label
_atom_site_type_symbol
_atom_site_fract_x
_atom_site_fract_y
_atom_site_fract_z
Zn1 Zn 0.000 0.000 0.000
P1 P 0.000 0.500 0.500
H1 H 0.500 0.500 0.500
S1 S 0.500 0.500 0.000
# N(E_F) in states/eV per atom: 0.611

---

Last place for stability: w

---

w:
# ZrPHS2, relaxed, DFT GGA-PBE
data_ZrPHS2
_chemical_formula_sum 'Zr1 P1 H1 S2'
_cell_length_a 4.593
_cell_length_b 4.593
_cell_length_c 3.281
_cell_angle_alpha 90.00
_cell_angle_beta 90.00
_cell_angle_gamma 90.00
_symmetry_space_group_name_H-M 'P 4/m m m'
_symmetry_Int_Tables_number 123
_symmetry_space_group_name_Hall '-P 4 2'
loop_
_atom_site_label
_atom_site_type_symbol
_atom_site_fract_x
_atom_site_fract_y
_atom_site_fract_z
Zr1 Zr 0.000 0.000 0.000
P1 P 0.500 0.500 0.000
H1 H 0.500 0.500 0.500
S1 S 0.000 0.500 0.500
# N(E_F) in states/eV per atom: 0.401

---

x:
# ZrPHS2, relaxed, DFT GGA-PBE
data_ZrPHS2
_chemical_formula_sum 'Zr1 P1 H1 S2'
_cell_length_a 4.995
_cell_length_b 4.995
_cell_length_c 5.203
_cell_angle_alpha 90.00
_cell_angle_beta 90.00
_cell_angle_gamma 90.00
_symmetry_space_group_name_H-M 'P 4/m m m'
_symmetry_Int_Tables_number 123
_symmetry_space_group_name_Hall '-P 4 2'
loop_
_atom_site_label
_atom_site_type_symbol
_atom_site_fract_x
_atom_site_fract_y
_atom_site_fract_z
Zr1 Zr 0.000 0.000 0.000
P1 P 0.000 0.000 0.500
H1 H 0.500 0.500 0.500
S1 S 0.000 0.500 0.000
# N(E_F) in states/eV per atom: 0.429

---

Last place for stability: x

---

w:
# SbP2H, relaxed, DFT GGA-PBE
data_SbP2H
_chemical_formula_sum 'Sb4 P8 H4'
_cell_length_a 6.362
_cell_length_b 6.362
_cell_length_c 6.362
_cell_angle_alpha 90.00
_cell_angle_beta 90.00
_cell_angle_gamma 90.00
_symmetry_space_group_name_H-M 'F m -3 m'
_symmetry_Int_Tables_number 225
_symmetry_space_group_name_Hall '-F 4 2 3'
loop_
_atom_site_label
_atom_site_type_symbol
_atom_site_fract_x
_atom_site_fract_y
_atom_site_fract_z
Sb1 Sb 0.000 0.000 0.000
P1 P 0.250 0.250 0.250
H1 H 0.000 0.000 0.500
# N(E_F) in states/eV per atom: 0.472

---

x:
# SbP2H, relaxed, DFT GGA-PBE
data_SbP2H
_chemical_formula_sum 'Sb4 P8 H4'
_cell_length_a 5.259
_cell_length_b 5.259
_cell_length_c 10.470
_cell_angle_alpha 90.00
_cell_angle_beta 90.00
_cell_angle_gamma 90.00
_symmetry_space_group_name_H-M 'I -4 2 d'
_symmetry_Int_Tables_number 122
_symmetry_space_group_name_Hall 'I -4 2bw'
loop_
_atom_site_label
_atom_site_type_symbol
_atom_site_fract_x
_atom_site_fract_y
_atom_site_fract_z
Sb1 Sb 0.000 0.000 0.000
P1 P 0.155 0.250 0.625
H1 H 0.000 0.000 0.500
# N(E_F) in states/eV per atom: 0.196

---

Last place for stability: w

---

w:
# SbP3H, relaxed, DFT GGA-PBE
data_SbP3H
_chemical_formula_sum 'Sb1 P3 H1'
_cell_length_a 4.194
_cell_length_b 4.194
_cell_length_c 4.194
_cell_angle_alpha 90.00
_cell_angle_beta 90.00
_cell_angle_gamma 90.00
_symmetry_space_group_name_H-M 'P m -3 m'
_symmetry_Int_Tables_number 221
_symmetry_space_group_name_Hall '-P 4 2 3'
loop_
_atom_site_label
_atom_site_type_symbol
_atom_site_fract_x
_atom_site_fract_y
_atom_site_fract_z
Sb1 Sb 0.000 0.000 0.000
P1 P 0.000 0.500 0.500
H1 H 0.500 0.500 0.500
# N(E_F) in states/eV per atom: 0.501

---

x:
# SbP3H, relaxed, DFT GGA-PBE
data_SbP3H
_chemical_formula_sum 'Sb1 P3 H1'
_cell_length_a 5.132
_cell_length_b 5.132
_cell_length_c 5.132
_cell_angle_alpha 90.00
_cell_angle_beta 90.00
_cell_angle_gamma 90.00
_symmetry_space_group_name_H-M 'P m -3 m'
_symmetry_Int_Tables_number 221
_symmetry_space_group_name_Hall '-P 4 2 3'
loop_
_atom_site_label
_atom_site_type_symbol
_atom_site_fract_x
_atom_site_fract_y
_atom_site_fract_z
Sb1 Sb 0.000 0.000 0.000
P1 P 0.000 0.000 0.500
H1 H 0.500 0.500 0.500
# N(E_F) in states/eV per atom: 0.992

---

Last place for stability: x